# Hf2HPdRu

A relaxed structure of Hf2HPdRu (GGA-PBE, Alexandria via LeMat-Bulk). Values from VASP.

## Properties
Uncorrected energy, eV/atom: -8.06
Crystal system: tetragonal
Polymorph energy (0 for the lowest one), kcal/mol of atoms: 0.00

The structure in Quantum ESPRESSO input format:
```
&SYSTEM
  ibrav = 0, nat = 5, ntyp = 4
/
ATOMIC_SPECIES
Pd 106.42 Pd.upf
H 1.01 H.upf
Hf 178.49 Hf.upf
Ru 101.07 Ru.upf
CELL_PARAMETERS angstrom
-3.535 -1.669 2.187
-1.385 -1.997 -3.763
1.938 -2.972 0.864
ATOMIC_POSITIONS angstrom
Pd -1.491 -3.319 -0.356
H 0.000 0.000 0.000
Hf -1.767 -0.835 1.094
Hf -0.692 -0.999 -1.881
Ru 0.969 -1.486 0.432
```


# PaAlZn

A relaxed structure of PaAlZn (GGA-PBE, Alexandria via LeMat-Bulk). Values from VASP.

## Properties
Uncorrected energy, eV/atom: -4.70
Crystal system: cubic
Energy relative to the elements, eV/atom: 0.142

The structure in Quantum ESPRESSO input format:
```
&SYSTEM
  ibrav = 0, nat = 3, ntyp = 3
/
ATOMIC_SPECIES
Zn 65.41 Zn.upf
Pa 231.04 Pa.upf
Al 26.98 Al.upf
CELL_PARAMETERS angstrom
-1.931 3.312 -2.460
-3.646 -0.906 -2.577
-4.087 1.629 1.182
ATOMIC_POSITIONS angstrom
Zn -2.416 1.009 -0.964
Pa -4.832 2.017 -1.928
Al 0.000 0.000 0.000
```


# Sc2Cd

A relaxed structure of Sc2Cd (GGA-PBE, Alexandria via LeMat-Bulk). Values from VASP.

## Properties
Uncorrected energy, eV/atom: -4.69
Crystal system: cubic
Energy relative to the elements, eV/atom: -0.160

The structure in Quantum ESPRESSO input format:
```
&SYSTEM
  ibrav = 0, nat = 24, ntyp = 2
/
ATOMIC_SPECIES
Cd 112.41 Cd.upf
Sc 44.96 Sc.upf
CELL_PARAMETERS angstrom
9.258 0.000 0.000
4.629 8.017 0.000
4.629 2.672 7.559
ATOMIC_POSITIONS angstrom
Cd 7.583 7.050 2.151
Sc 4.629 3.368 5.216
Sc 12.175 6.333 5.216
Sc 7.546 1.684 0.453
Sc 13.887 7.322 2.343
Sc 6.341 4.357 2.343
Sc 6.943 1.336 3.779
Sc 10.970 9.006 7.106
Cd 7.583 3.639 5.408
Sc 4.629 0.000 0.000
Sc 9.258 5.345 3.779
Sc 9.258 4.649 0.453
Sc 9.258 6.041 7.106
Cd 10.933 7.050 2.151
Sc 2.314 1.336 3.779
Sc 16.804 9.006 7.106
Sc 6.341 6.333 5.216
Cd 13.887 8.756 5.408
Cd 10.933 3.639 5.408
Sc 1.712 1.684 0.453
Cd 9.258 2.672 2.673
Cd 9.258 8.017 4.886
Cd 4.629 1.934 2.151
Sc 12.175 4.357 2.343
```